Computed, not measured: an optimized crystal structure of NbCuNiBi at the PBE level of DFT.

abc: 6.4875 6.4875 6.4875
angles: 90.00 90.00 90.00
Element x y z (fractional)
Nb (0.0000, 0.0000, 0.0000)
Nb (0.0000, 0.5000, 0.5000)
Nb (0.5000, 0.0000, 0.5000)
Nb (0.5000, 0.5000, 0.0000)
Cu (0.0000, 0.0000, 0.5000)
Cu (0.0000, 0.5000, 0.0000)
Cu (0.5000, 0.0000, 0.0000)
Cu (0.5000, 0.5000, 0.5000)
Ni (0.2500, 0.2500, 0.7500)
Ni (0.2500, 0.7500, 0.2500)
Ni (0.7500, 0.2500, 0.2500)
Ni (0.7500, 0.7500, 0.7500)
Bi (0.2500, 0.2500, 0.2500)
Bi (0.2500, 0.7500, 0.7500)
Bi (0.7500, 0.2500, 0.7500)
Bi (0.7500, 0.7500, 0.2500)

Results
SG: No. 216
E: -86.95 eV/cell
calculated volume: 273 Å³ per cell
energy relative to the lowest polymorph listed for this composition: 42 meV/atom


Computed, not measured: an optimized crystal structure of NbCuBiOs at the PBE level of DFT.

abc: 6.5476 6.5476 6.5476
angles: 90.00 90.00 90.00
Element x y z (fractional)
Nb (0.0000, 0.0000, 0.0000)
Nb (0.0000, 0.5000, 0.5000)
Nb (0.5000, 0.0000, 0.5000)
Nb (0.5000, 0.5000, 0.0000)
Cu (0.0000, 0.0000, 0.5000)
Cu (0.0000, 0.5000, 0.0000)
Cu (0.5000, 0.0000, 0.0000)
Cu (0.5000, 0.5000, 0.5000)
Bi (0.2500, 0.2500, 0.7500)
Bi (0.2500, 0.7500, 0.2500)
Bi (0.7500, 0.2500, 0.2500)
Bi (0.7500, 0.7500, 0.7500)
Os (0.2500, 0.2500, 0.2500)
Os (0.2500, 0.7500, 0.7500)
Os (0.7500, 0.2500, 0.7500)
Os (0.7500, 0.7500, 0.2500)

Results
SG: No. 216
E: -107.67 eV/cell
calculated volume: 281 Å³ per cell
energy relative to the lowest polymorph listed for this composition: 112 meV/atom


Computed, not measured: an optimized crystal structure of NbCuBiOs at the PBE level of DFT.

abc: 6.5627 6.5627 6.5627
angles: 90.00 90.00 90.00
Element x y z (fractional)
Nb (0.0000, 0.0000, 0.0000)
Nb (0.0000, 0.5000, 0.5000)
Nb (0.5000, 0.0000, 0.5000)
Nb (0.5000, 0.5000, 0.0000)
Cu (0.2500, 0.2500, 0.7500)
Cu (0.2500, 0.7500, 0.2500)
Cu (0.7500, 0.2500, 0.2500)
Cu (0.7500, 0.7500, 0.7500)
Bi (0.0000, 0.0000, 0.5000)
Bi (0.0000, 0.5000, 0.0000)
Bi (0.5000, 0.0000, 0.0000)
Bi (0.5000, 0.5000, 0.5000)
Os (0.2500, 0.2500, 0.2500)
Os (0.2500, 0.7500, 0.7500)
Os (0.7500, 0.2500, 0.7500)
Os (0.7500, 0.7500, 0.2500)

Results
SG: No. 216
E: -109.46 eV/cell
calculated volume: 283 Å³ per cell
energy relative to the lowest polymorph listed for this composition: 0 meV/atom


Computed, not measured: an optimized crystal structure of NbCuBiPt at the PBE level of DFT.

abc: 6.6796 6.6796 6.6796
angles: 90.00 90.00 90.00
Element x y z (fractional)
Nb (0.0000, 0.0000, 0.0000)
Nb (0.0000, 0.5000, 0.5000)
Nb (0.5000, 0.0000, 0.5000)
Nb (0.5000, 0.5000, 0.0000)
Cu (0.2500, 0.2500, 0.7500)
Cu (0.2500, 0.7500, 0.2500)
Cu (0.7500, 0.2500, 0.2500)
Cu (0.7500, 0.7500, 0.7500)
Bi (0.0000, 0.0000, 0.5000)
Bi (0.0000, 0.5000, 0.0000)
Bi (0.5000, 0.0000, 0.0000)
Bi (0.5000, 0.5000, 0.5000)
Pt (0.2500, 0.2500, 0.2500)
Pt (0.2500, 0.7500, 0.7500)
Pt (0.7500, 0.2500, 0.7500)
Pt (0.7500, 0.7500, 0.2500)

Results
SG: No. 216
E: -92.26 eV/cell
calculated volume: 298 Å³ per cell
energy relative to the lowest polymorph listed for this composition: 66 meV/atom


Computed, not measured: an optimized crystal structure of NbCuBiPt at the PBE level of DFT.

abc: 6.6357 6.6357 6.6357
angles: 90.00 90.00 90.00
Element x y z (fractional)
Nb (0.0000, 0.0000, 0.0000)
Nb (0.0000, 0.5000, 0.5000)
Nb (0.5000, 0.0000, 0.5000)
Nb (0.5000, 0.5000, 0.0000)
Cu (0.0000, 0.0000, 0.5000)
Cu (0.0000, 0.5000, 0.0000)
Cu (0.5000, 0.0000, 0.0000)
Cu (0.5000, 0.5000, 0.5000)
Bi (0.2500, 0.2500, 0.2500)
Bi (0.2500, 0.7500, 0.7500)
Bi (0.7500, 0.2500, 0.7500)
Bi (0.7500, 0.7500, 0.2500)
Pt (0.2500, 0.2500, 0.7500)
Pt (0.2500, 0.7500, 0.2500)
Pt (0.7500, 0.2500, 0.2500)
Pt (0.7500, 0.7500, 0.7500)

Results
SG: No. 216
E: -93.31 eV/cell
calculated volume: 292 Å³ per cell
energy relative to the lowest polymorph listed for this composition: 0 meV/atom


Computed, not measured: an optimized crystal structure of ScNbCuBi at the PBE level of DFT.

abc: 6.8348 6.8348 6.8348
angles: 90.00 90.00 90.00
Element x y z (fractional)
Sc (0.0000, 0.0000, 0.0000)
Sc (0.0000, 0.5000, 0.5000)
Sc (0.5000, 0.0000, 0.5000)
Sc (0.5000, 0.5000, 0.0000)
Nb (0.2500, 0.2500, 0.7500)
Nb (0.2500, 0.7500, 0.2500)
Nb (0.7500, 0.2500, 0.2500)
Nb (0.7500, 0.7500, 0.7500)
Cu (0.2500, 0.2500, 0.2500)
Cu (0.2500, 0.7500, 0.7500)
Cu (0.7500, 0.2500, 0.7500)
Cu (0.7500, 0.7500, 0.2500)
Bi (0.0000, 0.0000, 0.5000)
Bi (0.0000, 0.5000, 0.0000)
Bi (0.5000, 0.0000, 0.0000)
Bi (0.5000, 0.5000, 0.5000)

Results
SG: No. 216
E: -90.74 eV/cell
calculated volume: 319 Å³ per cell
energy relative to the lowest polymorph listed for this composition: 0 meV/atom